Record 1
Pr2ErBi: optimized geometry, PBE-GGA.

Properties
The calculation puts the electronic total energy at -4.893 eV/atom. For the density of states at the Fermi level, the calculation gives 3.75 states/eV per cell.

Structure (CIF):
```
data_Pr2ErBi
_chemical_formula_sum 'Pr2 Er1 Bi1'
_cell_length_a 4.968
_cell_length_b 4.968
_cell_length_c 5.000
_cell_angle_alpha 90.00
_cell_angle_beta 90.00
_cell_angle_gamma 90.00
_space_group_name_H-M_alt 'P 1'
_space_group_IT_number 1
_space_group_name_Hall 'P 1'
loop_
_atom_site_label
_atom_site_fract_x
_atom_site_fract_y
_atom_site_fract_z
_atom_site_occupancy
Pr1 0.000 0.500 0.000 1
Pr2 0.500 0.000 0.000 1
Er1 0.000 0.000 0.500 1
Bi1 0.500 0.500 0.500 1
```

Record 2
PrErBi2: optimized geometry, PBE-GGA.

Properties
The calculation puts the electronic total energy at -5.157 eV/atom. For the density of states at the Fermi level, the calculation gives 0.73 states/eV per cell.

Structure (CIF):
```
data_PrErBi2
_chemical_formula_sum 'Pr1 Er1 Bi2'
_cell_length_a 7.859
_cell_length_b 7.859
_cell_length_c 7.859
_cell_angle_alpha 33.65
_cell_angle_beta 33.65
_cell_angle_gamma 33.65
_space_group_name_H-M_alt 'P 1'
_space_group_IT_number 1
_space_group_name_Hall 'P 1'
loop_
_atom_site_label
_atom_site_fract_x
_atom_site_fract_y
_atom_site_fract_z
_atom_site_occupancy
Pr1 0.000 0.000 0.000 1
Er1 0.500 0.500 0.500 1
Bi1 0.246 0.246 0.246 1
Bi2 0.754 0.754 0.754 1
```

Record 3
PrErBi3: optimized geometry, PBE-GGA.

Properties
The calculation puts the electronic total energy at -4.808 eV/atom. For the density of states at the Fermi level, the calculation gives 12.86 states/eV per cell.

Structure (CIF):
```
data_PrErBi3
_chemical_formula_sum 'Pr4 Er4 Bi12'
_cell_length_a 14.266
_cell_length_b 6.443
_cell_length_c 6.890
_cell_angle_alpha 90.00
_cell_angle_beta 90.00
_cell_angle_gamma 90.00
_space_group_name_H-M_alt 'P 1'
_space_group_IT_number 1
_space_group_name_Hall 'P 1'
loop_
_atom_site_label
_atom_site_fract_x
_atom_site_fract_y
_atom_site_fract_z
_atom_site_occupancy
Pr1 0.178 0.015 0.250 1
Pr2 0.178 0.485 0.750 1
Pr3 0.822 0.515 0.250 1
Pr4 0.822 0.985 0.750 1
Er1 0.402 0.750 0.000 1
Er2 0.402 0.750 0.500 1
Er3 0.598 0.250 0.000 1
Er4 0.598 0.250 0.500 1
Bi1 0.004 0.750 0.000 1
Bi2 0.004 0.750 0.500 1
Bi3 0.244 0.508 0.250 1
Bi4 0.244 0.992 0.750 1
Bi5 0.417 0.163 0.250 1
Bi6 0.417 0.337 0.750 1
Bi7 0.583 0.663 0.250 1
Bi8 0.583 0.837 0.750 1
Bi9 0.756 0.008 0.250 1
Bi10 0.756 0.492 0.750 1
Bi11 0.996 0.250 0.000 1
Bi12 0.996 0.250 0.500 1
```

Record 4
PrErBi: optimized geometry, PBE-GGA.

Properties
The calculation puts the electronic total energy at -5.058 eV/atom. For the density of states at the Fermi level, the calculation gives 5.38 states/eV per cell.

Structure (CIF):
```
data_PrErBi
_chemical_formula_sum 'Pr2 Er2 Bi2'
_cell_length_a 4.623
_cell_length_b 4.623
_cell_length_c 8.871
_cell_angle_alpha 90.00
_cell_angle_beta 90.00
_cell_angle_gamma 90.00
_space_group_name_H-M_alt 'P 1'
_space_group_IT_number 1
_space_group_name_Hall 'P 1'
loop_
_atom_site_label
_atom_site_fract_x
_atom_site_fract_y
_atom_site_fract_z
_atom_site_occupancy
Pr1 0.250 0.250 0.151 1
Pr2 0.750 0.750 0.849 1
Er1 0.250 0.750 0.500 1
Er2 0.750 0.250 0.500 1
Bi1 0.250 0.250 0.771 1
Bi2 0.750 0.750 0.229 1
```

Record 5
PrEr2Bi: optimized geometry, PBE-GGA.

Properties
The calculation puts the electronic total energy at -4.776 eV/atom. For the density of states at the Fermi level, the calculation gives 4.28 states/eV per cell.

Structure (CIF):
```
data_PrEr2Bi
_chemical_formula_sum 'Pr1 Er2 Bi1'
_cell_length_a 4.033
_cell_length_b 4.033
_cell_length_c 7.517
_cell_angle_alpha 90.00
_cell_angle_beta 90.00
_cell_angle_gamma 90.00
_space_group_name_H-M_alt 'P 1'
_space_group_IT_number 1
_space_group_name_Hall 'P 1'
loop_
_atom_site_label
_atom_site_fract_x
_atom_site_fract_y
_atom_site_fract_z
_atom_site_occupancy
Pr1 0.000 0.000 0.000 1
Er1 0.500 0.500 0.277 1
Er2 0.500 0.500 0.723 1
Bi1 0.000 0.000 0.500 1
```

Record 6
Pr2ErBi: optimized geometry, PBE-GGA.

Properties
The calculation puts the electronic total energy at -4.495 eV/atom. For the density of states at the Fermi level, the calculation gives 5.30 states/eV per cell.

Structure (CIF):
```
data_Pr2ErBi
_chemical_formula_sum 'Pr2 Er1 Bi1'
_cell_length_a 12.600
_cell_length_b 12.600
_cell_length_c 12.600
_cell_angle_alpha 16.40
_cell_angle_beta 16.40
_cell_angle_gamma 16.40
_space_group_name_H-M_alt 'P 1'
_space_group_IT_number 1
_space_group_name_Hall 'P 1'
loop_
_atom_site_label
_atom_site_fract_x
_atom_site_fract_y
_atom_site_fract_z
_atom_site_occupancy
Pr1 0.088 0.088 0.088 1
Pr2 0.912 0.912 0.912 1
Er1 0.500 0.500 0.500 1
Bi1 0.000 0.000 0.000 1
```

Repeat the sixth record exactly.
Pr2ErBi: optimized geometry, PBE-GGA.

Properties
The calculation puts the electronic total energy at -4.495 eV/atom. For the density of states at the Fermi level, the calculation gives 5.30 states/eV per cell.

Structure (CIF):
```
data_Pr2ErBi
_chemical_formula_sum 'Pr2 Er1 Bi1'
_cell_length_a 12.600
_cell_length_b 12.600
_cell_length_c 12.600
_cell_angle_alpha 16.40
_cell_angle_beta 16.40
_cell_angle_gamma 16.40
_space_group_name_H-M_alt 'P 1'
_space_group_IT_number 1
_space_group_name_Hall 'P 1'
loop_
_atom_site_label
_atom_site_fract_x
_atom_site_fract_y
_atom_site_fract_z
_atom_site_occupancy
Pr1 0.088 0.088 0.088 1
Pr2 0.912 0.912 0.912 1
Er1 0.500 0.500 0.500 1
Bi1 0.000 0.000 0.000 1
```

> The highest electronic total energy belongs to which entry?

number 6

> What is the density of states at the Fermi level in the fifth record?

4.28 states/eV per cell

Repeat the second record exactly.
PrErBi2: optimized geometry, PBE-GGA.

Properties
The calculation puts the electronic total energy at -5.157 eV/atom. For the density of states at the Fermi level, the calculation gives 0.73 states/eV per cell.

Structure (CIF):
```
data_PrErBi2
_chemical_formula_sum 'Pr1 Er1 Bi2'
_cell_length_a 7.859
_cell_length_b 7.859
_cell_length_c 7.859
_cell_angle_alpha 33.65
_cell_angle_beta 33.65
_cell_angle_gamma 33.65
_space_group_name_H-M_alt 'P 1'
_space_group_IT_number 1
_space_group_name_Hall 'P 1'
loop_
_atom_site_label
_atom_site_fract_x
_atom_site_fract_y
_atom_site_fract_z
_atom_site_occupancy
Pr1 0.000 0.000 0.000 1
Er1 0.500 0.500 0.500 1
Bi1 0.246 0.246 0.246 1
Bi2 0.754 0.754 0.754 1
```